A relaxed KCuTe3Ir crystal, computed with PBE-GGA.

a = 8.0170 Å, b = 8.0170 Å, c = 10.5048 Å
α = 90.00°, β = 90.00°, γ = 151.01°
Closest atoms and distances in Å follow each position.
Fractional coordinates of all 12 atoms:
K  0.2378  0.7622  0.7500  8 Te 3.60-3.72, 2 Cu 3.60, 2 K 4.01
K  0.7622  0.2378  0.2500  8 Te 3.60-3.72, 2 Cu 3.60, 2 K 4.01
Cu  0.4551  0.5449  0.2500  4 Te 2.56-2.62
Cu  0.5449  0.4551  0.7500  4 Te 2.56-2.62
Te  0.0631  0.9369  0.2500  2 Cu 2.62, 2 Ir 2.80
Te  0.3847  0.6153  0.0298  1 Cu 2.56, 2 Ir 2.71
Te  0.3847  0.6153  0.4702  1 Cu 2.56, 2 Ir 2.71
Te  0.6153  0.3847  0.5298  1 Cu 2.56, 2 Ir 2.71
Te  0.6153  0.3847  0.9702  1 Cu 2.56, 2 Ir 2.71
Te  0.9369  0.0631  0.7500  2 Cu 2.62, 2 Ir 2.80
Ir  0.0000  0.0000  0.0000  6 Te 2.71-2.80
Ir  0.0000  0.0000  0.5000  6 Te 2.71-2.80

Values from the calculation:
As for the total moment: 0.005 Bohr magnetons per cell. As for the final energy: -4.157 eV/atom.

A relaxed LaNbCuIr crystal, computed with PBE-GGA.

a = 4.7969 Å, b = 4.7969 Å, c = 4.7969 Å
α = 60.00°, β = 60.00°, γ = 60.00°
Closest atoms and distances in Å follow each position.
Fractional coordinates of all 4 atoms:
La  0.0000  0.0000  0.0000  4 Cu 2.94, 4 Ir 2.94
Nb  0.5000  0.5000  0.5000  4 Cu 2.94, 4 Ir 2.94
Cu  0.7500  0.7500  0.7500  4 Nb 2.94, 4 La 2.94
Ir  0.2500  0.2500  0.2500  4 La 2.94, 4 Nb 2.94

Values from the calculation:
As for the total moment: 0.304 Bohr magnetons per cell. The formation energy comes out at 0.059 eV/atom. As for the final energy: -6.839 eV/atom. The energy above the most stable polymorph in this dataset comes out at 80 meV per atom.

A relaxed LaNbCuIr crystal, computed with PBE-GGA.

a = 4.6621 Å, b = 4.6621 Å, c = 4.6621 Å
α = 60.00°, β = 60.00°, γ = 60.00°
Closest atoms and distances in Å follow each position.
Fractional coordinates of all 4 atoms:
La  0.0000  0.0000  0.0000  4 Nb 2.85, 4 Cu 2.85
Nb  0.2500  0.2500  0.2500  4 Ir 2.85, 4 La 2.85
Cu  0.7500  0.7500  0.7500  4 Ir 2.85, 4 La 2.85
Ir  0.5000  0.5000  0.5000  4 Cu 2.85, 4 Nb 2.85

Values from the calculation:
As for the total moment: 0.000 Bohr magnetons per cell. The formation energy comes out at -0.022 eV/atom. As for the final energy: -6.919 eV/atom. The energy above the most stable polymorph in this dataset comes out at 0 meV per atom.